No. 1
Computed, not measured: a geometry-optimized ErTl6Pd12 structure at the GGA-PBE level of DFT. Values from VASP.

```
&SYSTEM
  ibrav = 0, nat = 19, ntyp = 3
/
ATOMIC_SPECIES
Er 167.26 Er.upf
Tl 204.38 Tl.upf
Pd 106.42 Pd.upf
CELL_PARAMETERS angstrom
5.7685 3.3305 3.2022
-5.7685 3.3305 3.2022
0.0000 -6.6609 3.2022
ATOMIC_POSITIONS crystal
Er 0.0000 0.0000 0.0000
Tl 0.1513 0.2001 0.4534
Tl 0.2001 0.4534 0.1513
Tl 0.4534 0.1513 0.2001
Tl 0.5466 0.8487 0.7999
Tl 0.7999 0.5466 0.8487
Tl 0.8487 0.7999 0.5466
Pd 0.0188 0.7445 0.2434
Pd 0.1841 0.6118 0.5715
Pd 0.2434 0.0188 0.7445
Pd 0.2555 0.7566 0.9812
Pd 0.3882 0.4285 0.8159
Pd 0.4285 0.8159 0.3882
Pd 0.5715 0.1841 0.6118
Pd 0.6118 0.5715 0.1841
Pd 0.7445 0.2434 0.0188
Pd 0.7566 0.9812 0.2555
Pd 0.8159 0.3882 0.4285
Pd 0.9812 0.2555 0.7566
```

No. 2
Computed, not measured: a geometry-optimized Pm5ErRh6 structure at the GGA-PBE level of DFT. Values from VASP.

```
&SYSTEM
  ibrav = 0, nat = 12, ntyp = 3
/
ATOMIC_SPECIES
Pm 145.00 Pm.upf
Er 167.26 Er.upf
Rh 102.91 Rh.upf
CELL_PARAMETERS angstrom
4.9687 0.0000 0.0000
0.0000 6.9286 0.0000
-2.4705 0.0000 7.4589
ATOMIC_POSITIONS crystal
Pm 0.0000 0.0000 0.0000
Pm 0.3334 0.0000 0.6669
Pm 0.3342 0.5000 0.6683
Pm 0.6658 0.5000 0.3317
Pm 0.6666 0.0000 0.3331
Er 0.0000 0.5000 0.0000
Rh 0.1637 0.2531 0.3271
Rh 0.1637 0.7469 0.3271
Rh 0.5000 0.2571 0.0000
Rh 0.5000 0.7429 0.0000
Rh 0.8363 0.2531 0.6729
Rh 0.8363 0.7469 0.6729
```

No. 3
Computed, not measured: a geometry-optimized YTa4Cl structure at the GGA-PBE level of DFT. Values from VASP.

```
&SYSTEM
  ibrav = 0, nat = 6, ntyp = 3
/
ATOMIC_SPECIES
Y 88.91 Y.upf
Ta 180.95 Ta.upf
Cl 35.45 Cl.upf
CELL_PARAMETERS angstrom
0.0000 4.0374 4.0374
4.0374 0.0000 4.0374
4.0374 4.0374 0.0000
ATOMIC_POSITIONS crystal
Y 0.0000 0.0000 0.0000
Ta 0.3708 0.3708 0.3708
Ta 0.3708 0.3708 0.8877
Ta 0.3708 0.8877 0.3708
Ta 0.8877 0.3708 0.3708
Cl 0.7500 0.7500 0.7500
```

Formation energy without anion corrections in eV per formula unit: 3.7

No. 4
Computed, not measured: a geometry-optimized PrAlGa2 structure at the GGA-PBE level of DFT. Values from VASP.

```
&SYSTEM
  ibrav = 0, nat = 4, ntyp = 3
/
ATOMIC_SPECIES
Pr 140.91 Pr.upf
Al 26.98 Al.upf
Ga 69.72 Ga.upf
CELL_PARAMETERS angstrom
2.8122 -4.7078 0.0000
2.8122 4.7078 0.0000
0.0000 0.0000 3.3631
ATOMIC_POSITIONS crystal
Pr 0.0000 0.0000 0.0000
Al 0.5000 0.5000 0.5000
Ga 0.0000 0.5000 0.5000
Ga 0.5000 0.0000 0.5000
```

No. 5
Computed, not measured: a geometry-optimized Er2ScSb3 structure at the GGA-PBE level of DFT. Values from VASP.

```
&SYSTEM
  ibrav = 0, nat = 12, ntyp = 3
/
ATOMIC_SPECIES
Er 167.26 Er.upf
Sc 44.96 Sc.upf
Sb 121.76 Sb.upf
CELL_PARAMETERS angstrom
3.7181 -6.4419 0.0000
3.7181 6.4419 0.0000
-2.4812 0.0000 7.0047
ATOMIC_POSITIONS crystal
Er 0.0000 0.0000 0.0000
Er 0.1636 0.8364 0.5000
Er 0.5000 0.5000 0.5000
Er 0.8364 0.1636 0.5000
Sc 0.3321 0.6679 0.0000
Sc 0.6679 0.3321 0.0000
Sb 0.0812 0.4213 0.2428
Sb 0.2610 0.2610 0.7606
Sb 0.4213 0.0812 0.2428
Sb 0.5787 0.9188 0.7572
Sb 0.7390 0.7390 0.2394
Sb 0.9188 0.5787 0.7572
```

Formation energy without anion corrections in eV per formula unit: -6.2
Distance to the lowest polymorph of the same formula in meV per atom: 0

No. 6
Computed, not measured: a geometry-optimized AcFe4B4 structure at the GGA-PBE level of DFT. Values from VASP.

```
&SYSTEM
  ibrav = 0, nat = 18, ntyp = 3
/
ATOMIC_SPECIES
Ac 227.00 Ac.upf
Fe 55.84 Fe.upf
B 10.81 B.upf
CELL_PARAMETERS angstrom
7.2196 0.0000 0.0000
0.0000 7.2196 0.0000
0.0000 0.0000 3.8109
ATOMIC_POSITIONS crystal
Ac 0.2500 0.2500 0.2500
Ac 0.7500 0.7500 0.7500
Fe 0.1200 0.6395 0.1446
Fe 0.1395 0.8800 0.6446
Fe 0.3605 0.6200 0.6446
Fe 0.3800 0.8605 0.1446
Fe 0.6200 0.1395 0.8554
Fe 0.6395 0.3800 0.3554
Fe 0.8605 0.1200 0.3554
Fe 0.8800 0.3605 0.8554
B 0.0492 0.9145 0.1444
B 0.0855 0.5492 0.6444
B 0.4145 0.9508 0.6444
B 0.4508 0.5855 0.1444
B 0.5492 0.4145 0.8556
B 0.5855 0.0492 0.3556
B 0.9145 0.4508 0.3556
B 0.9508 0.0855 0.8556
```

No. 7
Computed, not measured: a geometry-optimized CaAlCo structure at the GGA-PBE level of DFT. Values from VASP.

```
&SYSTEM
  ibrav = 0, nat = 18, ntyp = 3
/
ATOMIC_SPECIES
Ca 40.08 Ca.upf
Al 26.98 Al.upf
Co 58.93 Co.upf
CELL_PARAMETERS angstrom
2.7382 1.5809 12.6837
-2.7382 1.5809 12.6837
0.0000 -3.1618 12.6837
ATOMIC_POSITIONS crystal
Ca 0.0395 0.0395 0.0395
Ca 0.1806 0.1806 0.1806
Ca 0.2698 0.2698 0.2698
Ca 0.7302 0.7302 0.7302
Ca 0.8194 0.8194 0.8194
Ca 0.9605 0.9605 0.9605
Al 0.2349 0.7176 0.7176
Al 0.2824 0.2824 0.7651
Al 0.2824 0.7651 0.2824
Al 0.7176 0.2349 0.7176
Al 0.7176 0.7176 0.2349
Al 0.7651 0.2824 0.2824
Co 0.0000 0.5000 0.5000
Co 0.3824 0.3824 0.3824
Co 0.5000 0.0000 0.5000
Co 0.5000 0.5000 0.0000
Co 0.5000 0.5000 0.5000
Co 0.6176 0.6176 0.6176
```

No. 8
Computed, not measured: a geometry-optimized Pa3GaNi8 structure at the GGA-PBE level of DFT. Values from VASP.

```
&SYSTEM
  ibrav = 0, nat = 12, ntyp = 3
/
ATOMIC_SPECIES
Pa 231.04 Pa.upf
Ga 69.72 Ga.upf
Ni 58.69 Ni.upf
CELL_PARAMETERS angstrom
2.4858 1.4352 8.1622
-2.4858 1.4352 8.1622
0.0000 -2.8704 8.1622
ATOMIC_POSITIONS crystal
Pa 0.0000 0.0000 0.0000
Pa 0.1267 0.1267 0.1267
Pa 0.5067 0.5067 0.5067
Ga 0.6307 0.6307 0.6307
Ni 0.0609 0.5662 0.5662
Ni 0.0687 0.0687 0.5634
Ni 0.0687 0.5634 0.0687
Ni 0.3156 0.3156 0.3156
Ni 0.5634 0.0687 0.0687
Ni 0.5662 0.0609 0.5662
Ni 0.5662 0.5662 0.0609
Ni 0.8162 0.8162 0.8162
```

Values for density, g cm⁻³, ordered as above
12.01 9.76 10.70 5.73 7.37 8.25 3.81 11.71
Values for E, eV per atom, ordered as above
-4.406 -6.756 -8.677 -3.956 -5.672 -7.505 -4.416 -6.896